This record from Alexandria describes ScHg after structural relaxation. The functional is PBE.

Computed properties:
- M_tot (μB/atom) = 0.000
- energy relative to the elements (eV per atom) = -0.300

Cell: 6.2956 6.2956 6.2956 Å, 137.97 73.17 123.15°
Atoms (fractional coordinates):
Sc (0.0000, 0.0000, 0.0000)
Sc (0.5343, 0.2074, 0.3269)
Sc (0.8805, 0.2074, 0.6731)
Hg (0.0662, 0.7184, 0.3478)
Hg (0.3706, 0.7184, 0.6522)
Hg (0.5091, 0.5091, 0.0000)

This record from Alexandria describes Rb2TlSeI after structural relaxation. The functional is PBE.

Computed properties:
- formation energy without anion corrections (eV/atom) = -0.86
- M_tot (μB/atom) = 0.000

Cell: 6.5859 6.5859 6.1116 Å, 90.00 90.00 90.00°
Atoms (fractional coordinates):
Rb (0.0000, 0.5000, 0.0000)
Rb (0.5000, 0.0000, 0.0000)
Tl (0.0000, 0.0000, 0.5000)
Se (0.0000, 0.0000, 0.0000)
I (0.5000, 0.5000, 0.5000)

This record from Alexandria describes BaSrGa after structural relaxation. The functional is PBE.

Computed properties:
- M_tot (μB/atom) = 0.000
- energy relative to the elements (eV per atom) = -0.268

Cell: 4.0781 7.8312 8.1513 Å, 74.84 90.00 74.91°
Atoms (fractional coordinates):
Ba (0.1266, 0.2477, 0.0653)
Ba (0.8734, 0.7523, 0.9347)
Sr (0.1307, 0.2391, 0.5627)
Sr (0.8693, 0.7609, 0.4373)
Ga (0.4973, 0.5057, 0.2703)
Ga (0.5027, 0.4943, 0.7297)

This record from Alexandria describes LiSmTm2Hg4 after structural relaxation. The functional is PBE.

Computed properties:
- M_tot (μB/atom) = 0.000
- energy relative to the elements (eV per atom) = -0.439

Cell: 9.1525 9.1525 9.1525 Å, 32.29 32.29 32.29°
Atoms (fractional coordinates):
Li (0.0000, 0.0000, 0.0000)
Sm (0.5000, 0.5000, 0.5000)
Tm (0.2562, 0.2562, 0.2562)
Tm (0.7438, 0.7438, 0.7438)
Hg (0.1168, 0.1168, 0.1168)
Hg (0.3731, 0.3731, 0.3731)
Hg (0.6269, 0.6269, 0.6269)
Hg (0.8832, 0.8832, 0.8832)

Please write out number 3 again, unchanged.
This record from Alexandria describes BaSrGa after structural relaxation. The functional is PBE.

Computed properties:
- M_tot (μB/atom) = 0.000
- energy relative to the elements (eV per atom) = -0.268

Cell: 4.0781 7.8312 8.1513 Å, 74.84 90.00 74.91°
Atoms (fractional coordinates):
Ba (0.1266, 0.2477, 0.0653)
Ba (0.8734, 0.7523, 0.9347)
Sr (0.1307, 0.2391, 0.5627)
Sr (0.8693, 0.7609, 0.4373)
Ga (0.4973, 0.5057, 0.2703)
Ga (0.5027, 0.4943, 0.7297)